Entry 1:
An optimized crystal structure of Tb2Ga3Rh. Source: Alexandria via LeMat-Bulk, functional GGA-PBE.

Calculated values
- ΔH_f (0 K) (eV per atom) = -0.758
- N(E_F) (states/eV/cell) = 3.55
- magnetic moment (μB per formula unit) = 0.00

a b c (Å): 4.335 5.632 5.791
angles (deg): 76.77 68.02 67.37
Element x y z (fractional)
Ga  0.165  0.765  0.904
Rh  0.160  0.380  0.300
Tb  0.452  0.798  0.298
Tb  0.548  0.212  0.693
Ga  0.832  0.230  0.107
Ga  0.843  0.616  0.698

---

Entry 2:
An optimized crystal structure of KCN2. Source: Alexandria via LeMat-Bulk, functional GGA-PBE.

Calculated values
- N(E_F) (states/eV/cell) = 3.03
- magnetic moment (μB per formula unit) = 0.00
- E_form (uncorrected) (eV per atom) = 0.900
- excess energy over the best structure of this formula in the dataset (eV/f.u.) = 3.45

a b c (Å): 4.866 4.866 4.811
angles (deg): 59.62 59.62 90.00
Element x y z (fractional)
K  0.000  0.000  0.000
N  0.375  0.682  0.750
K  0.750  0.250  0.500
N  0.875  0.568  0.750
C  0.500  0.500  0.000
N  0.432  0.625  0.250
N  0.318  0.125  0.250
C  0.250  0.750  0.500

---

Entry 3:
An optimized crystal structure of Pm6Nd2YEr. Source: Alexandria via LeMat-Bulk, functional GGA-PBE.

Calculated values
- ΔH_f (0 K) (eV per atom) = 0.112
- N(E_F) (states/eV/cell) = 28.19
- magnetic moment (μB per formula unit) = 0.00

a b c (Å): 9.787 8.979 8.979
angles (deg): 118.41 94.14 94.14
Element x y z (fractional)
Pm  0.445  0.246  0.874
Pm  0.881  0.290  0.500
Nd  0.542  0.196  0.301
Pm  0.619  0.500  0.710
Y  0.250  0.979  0.021
Pm  0.810  0.427  0.983
Pm  0.690  0.017  0.573
Pm  0.381  0.500  0.290
Nd  0.958  0.699  0.804
Pm  0.945  0.874  0.246
Pm  0.190  0.573  0.017
Er  0.750  0.591  0.409
Pm  0.119  0.710  0.500
Er  0.250  0.409  0.591
Nd  0.042  0.301  0.196
Pm  0.055  0.126  0.754
Y  0.750  0.021  0.979
Nd  0.458  0.804  0.699
Pm  0.555  0.754  0.126
Pm  0.310  0.983  0.427

---

Entry 4:
An optimized crystal structure of MgH2O. Source: Alexandria via LeMat-Bulk, functional GGA-PBE.

Calculated values
- N(E_F) (states/eV/cell) = 1.03
- magnetic moment (μB per formula unit) = 0.00
- excess energy over the best structure of this formula in the dataset (eV/f.u.) = 4.90

a b c (Å): 3.406 3.406 3.406
angles (deg): 60.00 60.00 60.00
Element x y z (fractional)
O  0.000  0.000  0.000
H  0.250  0.250  0.250
Mg  0.500  0.500  0.500
H  0.750  0.750  0.750

---

Entry 5:
An optimized crystal structure of Pr5SmAg4. Source: Alexandria via LeMat-Bulk, functional GGA-PBE.

Calculated values
- ΔH_f (0 K) (eV per atom) = -0.193
- N(E_F) (states/eV/cell) = 10.16
- magnetic moment (μB per formula unit) = 0.01

a b c (Å): 3.748 3.748 20.433
angles (deg): 90.00 90.00 90.00
Element x y z (fractional)
Ag  0.000  0.000  0.783
Ag  0.000  0.000  0.595
Pr  0.500  0.500  0.124
Ag  0.000  0.000  0.217
Pr  0.500  0.500  0.311
Pr  0.500  0.500  0.876
Ag  0.000  0.000  0.405
Pr  0.500  0.500  0.689
Sm  0.000  0.000  0.000
Pr  0.500  0.500  0.500

---

Entry 6:
An optimized crystal structure of SmTh2P3Rh12. Source: Alexandria via LeMat-Bulk, functional GGA-PBE.

Calculated values
- ΔH_f (0 K) (eV per atom) = -0.448
- N(E_F) (states/eV/cell) = 15.74
- magnetic moment (μB per formula unit) = 0.00

a b c (Å): 6.806 6.806 6.806
angles (deg): 82.94 82.94 82.94
Element x y z (fractional)
Rh  0.638  0.092  0.638
Rh  0.180  0.656  0.180
Rh  0.820  0.344  0.820
Rh  0.362  0.908  0.362
Rh  0.638  0.638  0.092
Rh  0.092  0.638  0.638
Rh  0.344  0.820  0.820
Sm  0.000  0.000  0.000
Th  0.372  0.372  0.372
P  0.500  0.000  0.000
Rh  0.908  0.362  0.362
Rh  0.820  0.820  0.344
Th  0.628  0.628  0.628
Rh  0.180  0.180  0.656
Rh  0.362  0.362  0.908
P  0.000  0.500  0.000
Rh  0.656  0.180  0.180
P  0.000  0.000  0.500

---

Entry 7:
An optimized crystal structure of CuH2Pd. Source: Alexandria via LeMat-Bulk, functional GGA-PBE.

Calculated values
- N(E_F) (states/eV/cell) = 1.27
- magnetic moment (μB per formula unit) = 0.00
- excess energy over the best structure of this formula in the dataset (eV/f.u.) = 0.25

a b c (Å): 2.980 2.980 5.112
angles (deg): 73.05 73.05 60.00
Element x y z (fractional)
H  0.114  0.114  0.658
H  0.886  0.886  0.342
Pd  0.500  0.500  0.500
Cu  0.000  0.000  0.000

---

Entry 8:
An optimized crystal structure of AlFe3Cl. Source: Alexandria via LeMat-Bulk, functional GGA-PBE.

Calculated values
- N(E_F) (states/eV/cell) = 8.65
- magnetic moment (μB per formula unit) = 7.72
- E_form (uncorrected) (eV per atom) = 1.190
- excess energy over the best structure of this formula in the dataset (eV/f.u.) = 2.56

a b c (Å): 4.525 4.525 4.525
angles (deg): 90.00 90.00 90.00
Element x y z (fractional)
Cl  0.500  0.500  0.500
Fe  0.000  0.000  0.500
Al  0.000  0.000  0.000
Fe  0.500  0.000  0.000
Fe  0.000  0.500  0.000

---

Entry 9:
An optimized crystal structure of Y11In9Hg4. Source: Alexandria via LeMat-Bulk, functional GGA-PBE.

Calculated values
- ΔH_f (0 K) (eV per atom) = -0.479
- N(E_F) (states/eV/cell) = 15.87
- magnetic moment (μB per formula unit) = 0.00

a b c (Å): 3.762 13.513 13.513
angles (deg): 112.99 90.00 90.00
Element x y z (fractional)
In  0.500  0.059  0.211
In  0.500  0.941  0.789
In  0.500  0.632  0.152
In  0.500  0.848  0.368
Y  0.000  0.000  0.000
In  0.500  0.211  0.059
In  0.500  0.368  0.848
Hg  0.500  0.251  0.448
Y  0.000  0.638  0.362
Hg  0.500  0.749  0.552
Y  0.000  0.410  0.060
Y  0.000  0.713  0.713
In  0.500  0.500  0.500
Y  0.000  0.362  0.638
Y  0.000  0.590  0.940
In  0.500  0.789  0.941
Y  0.000  0.940  0.590
Hg  0.500  0.552  0.749
Y  0.000  0.162  0.838
Y  0.000  0.287  0.287
In  0.500  0.152  0.632
Y  0.000  0.838  0.162
Hg  0.500  0.448  0.251
Y  0.000  0.060  0.410

---

Entry 10:
An optimized crystal structure of Sc3MoP. Source: Alexandria via LeMat-Bulk, functional GGA-PBE.

Calculated values
- ΔH_f (0 K) (eV per atom) = 0.092
- N(E_F) (states/eV/cell) = 8.53
- magnetic moment (μB per formula unit) = 0.00
- excess energy over the best structure of this formula in the dataset (eV/f.u.) = 0.00

a b c (Å): 4.821 4.821 4.821
angles (deg): 90.00 90.00 90.00
Element x y z (fractional)
P  0.000  0.000  0.000
Mo  0.500  0.500  0.500
Sc  0.500  0.000  0.000
Sc  0.000  0.000  0.500
Sc  0.000  0.500  0.000

---

Entry 11:
An optimized crystal structure of CsGaCuHg2. Source: Alexandria via LeMat-Bulk, functional GGA-PBE.

Calculated values
- ΔH_f (0 K) (eV per atom) = 0.004
- N(E_F) (states/eV/cell) = 2.51
- magnetic moment (μB per formula unit) = 0.00

a b c (Å): 5.441 5.441 4.907
angles (deg): 90.00 90.00 90.00
Element x y z (fractional)
Ga  0.000  0.000  0.500
Cu  0.000  0.000  0.000
Cs  0.500  0.500  0.500
Hg  0.500  0.000  0.000
Hg  0.000  0.500  0.000

---

Entry 12:
An optimized crystal structure of PrTlH6Pt2. Source: Alexandria via LeMat-Bulk, functional GGA-PBE.

Calculated values
- total DFT energy (no corrections) (eV/atom) = -4.2117
- N(E_F) (states/eV/cell) = 0.12
- magnetic moment (μB per formula unit) = 0.00

a b c (Å): 6.235 6.235 7.876
angles (deg): 105.14 105.14 88.81
Element x y z (fractional)
Pr  0.445  0.555  0.750
H  0.102  0.714  0.746
Tl  0.097  0.903  0.250
H  0.671  0.356  0.537
Pt  0.102  0.466  0.358
H  0.714  0.102  0.246
H  0.846  0.612  0.845
H  0.644  0.329  0.963
H  0.154  0.388  0.155
Pt  0.534  0.898  0.142
Pt  0.898  0.534  0.642
H  0.388  0.154  0.655
H  0.612  0.846  0.345
H  0.329  0.644  0.463
Pr  0.555  0.445  0.250
H  0.356  0.671  0.037
Pt  0.466  0.102  0.858
H  0.898  0.286  0.254
H  0.286  0.898  0.754
Tl  0.903  0.097  0.750